[1]
# GGA-PBE BeBiP2Pt, relaxed
# energy of formation from the pure elements = 0.46 eV per atom
data_BeBiP2Pt
_chemical_formula_sum 'Be1 Bi1 P2 Pt1'
_cell_length_a 4.373
_cell_length_b 4.373
_cell_length_c 4.632
_cell_angle_alpha 90.00
_cell_angle_beta 90.00
_cell_angle_gamma 90.00
_space_group_name_H-M_alt 'P 4/m m m'
_space_group_IT_number 123
_space_group_name_Hall '-P 4 2'
loop_
_atom_site_label
_atom_site_fract_x
_atom_site_fract_y
_atom_site_fract_z
Be1 0.000 0.000 0.000
Bi1 0.500 0.500 0.500
P1 0.000 0.500 0.000
Pt1 0.000 0.000 0.500


[2]
# GGA-PBE PmPrMgSn, relaxed
# energy of formation from the pure elements = -0.44 eV per atom
data_PmPrMgSn
_chemical_formula_sum 'Pm4 Pr4 Mg4 Sn4'
_cell_length_a 7.713
_cell_length_b 7.713
_cell_length_c 7.713
_cell_angle_alpha 90.00
_cell_angle_beta 90.00
_cell_angle_gamma 90.00
_space_group_name_H-M_alt 'F -4 3 m'
_space_group_IT_number 216
_space_group_name_Hall 'F -4 2 3'
loop_
_atom_site_label
_atom_site_fract_x
_atom_site_fract_y
_atom_site_fract_z
Pm1 0.000 0.000 0.000
Pr1 0.000 0.000 0.500
Mg1 0.250 0.250 0.250
Sn1 0.250 0.250 0.750


[3]
# GGA-PBE LaPr3Ni3, relaxed
# energy of formation from the pure elements = -0.18 eV per atom
data_LaPr3Ni3
_chemical_formula_sum 'La4 Pr12 Ni12'
_cell_length_a 9.788
_cell_length_b 10.133
_cell_length_c 6.984
_cell_angle_alpha 90.00
_cell_angle_beta 91.55
_cell_angle_gamma 90.00
_space_group_name_H-M_alt 'C 1 2/m 1'
_space_group_IT_number 12
loop_
_space_group_symop_operation_xyz
'x,y,z'
'-x,-y,-z'
'-x,y,-z'
'x,-y,z'
'x+1/2,y+1/2,z'
'-x+1/2,-y+1/2,-z'
'-x+1/2,y+1/2,-z'
'x+1/2,-y+1/2,z'
loop_
_atom_site_label
_atom_site_fract_x
_atom_site_fract_y
_atom_site_fract_z
La1 0.241 0.000 0.389
Pr1 0.000 0.180 0.000
Pr2 0.000 0.260 0.500
Pr3 0.175 0.500 0.102
Ni1 0.061 0.000 0.685
Ni2 0.236 0.257 0.794


[4]
# GGA-PBE SrPCO2, relaxed
# formation energy from raw total energies = 0.074 eV per atom
# excess energy over the best structure of this formula in the dataset = 0 meV/atom
data_SrPCO2
_chemical_formula_sum 'Sr1 P1 C1 O2'
_cell_length_a 4.340
_cell_length_b 4.340
_cell_length_c 3.504
_cell_angle_alpha 90.00
_cell_angle_beta 90.00
_cell_angle_gamma 90.00
_space_group_name_H-M_alt 'P 4/m m m'
_space_group_IT_number 123
_space_group_name_Hall '-P 4 2'
loop_
_atom_site_label
_atom_site_fract_x
_atom_site_fract_y
_atom_site_fract_z
Sr1 0.000 0.000 0.000
P1 0.500 0.500 0.000
C1 0.500 0.500 0.500
O1 0.000 0.500 0.500


| no. | DFT total energy (eV per atom) |
| --- | --- |
| 1 | -4.4331 |
| 2 | -4.2222 |
| 3 | -5.4070 |
| 4 | -5.1721 |